LaTb2NdH | PBE | optimized geometry

Computed properties:
Uncorrected energy   -4.63 eV/atom
Magnetization   0.000 μB/cell

Unit cell a=5.111 b=5.111 c=5.114 alpha=90.00 beta=90.00 gamma=90.00
Space group P4/mmm (No. 123)
One atom of each set of equivalent atoms:
La 0.000 0.000 0.000
Tb 0.000 0.500 0.500
Nd 0.500 0.500 0.000
H 0.500 0.500 0.500

Hf2BeVIn | PBE | optimized geometry

Computed properties:
ΔE_f   0.740 eV/atom
Magnetization   0.000 μB/cell

Unit cell a=4.780 b=4.780 c=4.535 alpha=90.00 beta=90.00 gamma=90.00
Space group P4/mmm (No. 123)
One atom of each set of equivalent atoms:
Hf 0.000 0.500 0.000
Be 0.000 0.000 0.500
V 0.000 0.000 0.000
In 0.500 0.500 0.500